# 1
This record from the Alexandria database describes a relaxed CePu2H8 crystal. The functional is PBE-GGA. Values from VASP.

Values from the calculation:
VASP energy (eV per formula unit): -66.4
Calculated volume (Å³ per atom): 10.24

```
&SYSTEM
  ibrav = 0, nat = 11, ntyp = 3
/
ATOMIC_SPECIES
Ce 140.12 Ce.upf
Pu 244.00 Pu.upf
H 1.01 H.upf
CELL_PARAMETERS angstrom
3.632 0.000 -1.105
-0.776 4.492 -2.551
-0.006 0.654 6.501
ATOMIC_POSITIONS crystal
Ce 0.500 0.000 0.000
Pu 0.182 0.682 0.363
Pu 0.818 0.318 0.637
H 0.658 0.886 0.316
H 0.342 0.570 0.684
H 0.167 0.167 0.334
H 0.000 0.283 0.000
H 0.833 0.833 0.666
H 0.658 0.430 0.316
H 0.342 0.114 0.684
H 0.000 0.717 0.000
```

=====

# 2
This record from the Alexandria database describes a relaxed Ce2PuH8 crystal. The functional is PBE-GGA. Values from VASP.

Values from the calculation:
VASP energy (eV per formula unit): -58.3
Calculated volume (Å³ per atom): 10.55

```
&SYSTEM
  ibrav = 0, nat = 11, ntyp = 3
/
ATOMIC_SPECIES
Ce 140.12 Ce.upf
Pu 244.00 Pu.upf
H 1.01 H.upf
CELL_PARAMETERS angstrom
-1.683 3.310 0.857
-3.678 -2.615 2.874
5.962 0.122 2.762
ATOMIC_POSITIONS crystal
Ce 0.172 0.672 0.345
Ce 0.828 0.328 0.655
Pu 0.500 0.000 0.000
H 0.657 0.898 0.315
H 0.343 0.583 0.685
H 0.165 0.165 0.330
H 0.000 0.262 0.000
H 0.835 0.835 0.670
H 0.657 0.417 0.315
H 0.343 0.102 0.685
H 0.000 0.738 0.000
```

=====

# 3
This record from the Alexandria database describes a relaxed CePu2H crystal. The functional is PBE-GGA. Values from VASP.

Values from the calculation:
VASP energy (eV per formula unit): -36.2
Polymorph energy (0 for the lowest one) (eV/atom): 0.2921
Calculated volume (Å³ per atom): 15.03

```
&SYSTEM
  ibrav = 0, nat = 4, ntyp = 3
/
ATOMIC_SPECIES
H 1.01 H.upf
Ce 140.12 Ce.upf
Pu 244.00 Pu.upf
CELL_PARAMETERS angstrom
2.783 0.000 0.000
1.392 2.410 0.000
1.392 0.803 8.960
ATOMIC_POSITIONS crystal
H 0.500 0.500 0.500
Ce 0.000 0.000 0.000
Pu 0.105 0.105 0.685
Pu 0.895 0.895 0.315
```

=====

# 4
This record from the Alexandria database describes a relaxed CePuH2 crystal. The functional is PBE-GGA. Values from VASP.

Values from the calculation:
VASP energy (eV per formula unit): -26.8
Polymorph energy (0 for the lowest one) (eV/atom): 0.3344
Calculated volume (Å³ per atom): 13.90

```
&SYSTEM
  ibrav = 0, nat = 4, ntyp = 3
/
ATOMIC_SPECIES
H 1.01 H.upf
Ce 140.12 Ce.upf
Pu 244.00 Pu.upf
CELL_PARAMETERS angstrom
-2.280 1.941 -0.517
-1.655 -2.258 -1.181
-2.258 -1.198 5.455
ATOMIC_POSITIONS crystal
H 0.000 0.000 0.755
H 0.000 0.000 0.245
Ce 0.500 0.500 0.500
Pu 0.500 0.500 0.000
```

=====

# 5
This record from the Alexandria database describes a relaxed CePu2H crystal. The functional is PBE-GGA. Values from VASP.

Values from the calculation:
VASP energy (eV per formula unit): -37.3
Polymorph energy (0 for the lowest one) (eV/atom): 0.0000
Calculated volume (Å³ per atom): 19.98

```
&SYSTEM
  ibrav = 0, nat = 4, ntyp = 3
/
ATOMIC_SPECIES
H 1.01 H.upf
Ce 140.12 Ce.upf
Pu 244.00 Pu.upf
CELL_PARAMETERS angstrom
-0.373 -3.066 0.245
0.860 -0.341 -2.957
7.932 -0.773 2.397
ATOMIC_POSITIONS crystal
H 0.500 0.500 0.000
Ce 0.500 0.500 0.500
Pu 0.000 0.000 0.820
Pu 0.000 0.000 0.180
```

=====

# 6
This record from the Alexandria database describes a relaxed CePu3H crystal. The functional is PBE-GGA. Values from VASP.

Values from the calculation:
VASP energy (eV per formula unit): -52.0
Calculated volume (Å³ per atom): 22.60

```
&SYSTEM
  ibrav = 0, nat = 5, ntyp = 3
/
ATOMIC_SPECIES
H 1.01 H.upf
Ce 140.12 Ce.upf
Pu 244.00 Pu.upf
CELL_PARAMETERS angstrom
4.835 0.000 0.000
0.000 4.835 0.000
0.000 0.000 4.835
ATOMIC_POSITIONS crystal
H 0.000 0.000 0.000
Ce 0.500 0.500 0.500
Pu 0.000 0.500 0.000
Pu 0.000 0.000 0.500
Pu 0.500 0.000 0.000
```